## Cs2K9Rb3 (PBE)

Data for a relaxed structure of Cs2K9Rb3.

The structure in POSCAR format:
```
Cs2K9Rb3
1.0
11.5903 -6.8741 0.0000
11.5903 6.8741 0.0000
0.0000 0.0000 14.9071
Cs K Rb
4 18 6
direct
0.0100 0.6871 0.7500
0.3129 0.9900 0.7500
0.6871 0.0100 0.2500
0.9900 0.3129 0.2500
0.0154 0.6508 0.0951
0.0154 0.6508 0.4049
0.1767 0.8233 0.2500
0.3391 0.6609 0.5333
0.3391 0.6609 0.9667
0.3492 0.9846 0.0951
0.3492 0.9846 0.4049
0.3688 0.4410 0.2500
0.4410 0.3688 0.7500
0.5591 0.6312 0.2500
0.6312 0.5591 0.7500
0.6508 0.0154 0.5951
0.6508 0.0154 0.9049
0.6609 0.3391 0.0333
0.6609 0.3391 0.4667
0.8233 0.1767 0.7500
0.9846 0.3492 0.5951
0.9846 0.3492 0.9049
0.0000 0.0000 0.0000
0.0000 0.0000 0.5000
0.3095 0.3095 0.0000
0.3095 0.3095 0.5000
0.6905 0.6905 0.0000
0.6905 0.6905 0.5000
```

Values from the calculation:
Density of states at the Fermi level ... 11.31 states/eV/f.u.
ΔE_f ... 0.03 eV/atom
V ... 2375.4 Å³ per cell
Final energy ... -1.009 eV/atom


## Cs2K3Rb8 (PBE)

Data for a relaxed structure of Cs2K3Rb8.

The structure in POSCAR format:
```
Cs2K3Rb8
1.0
10.8510 -6.2607 0.0000
10.8510 6.2607 0.0000
-1.3644 0.0000 9.1918
Cs K Rb
2 3 8
direct
0.1990 0.1990 0.2300
0.8010 0.8010 0.7700
0.0000 0.0000 0.5000
0.1729 0.8271 0.0000
0.8271 0.1729 0.0000
0.2027 0.2027 0.7437
0.2061 0.5742 0.5491
0.4028 0.4028 0.0741
0.4258 0.7939 0.4509
0.5742 0.2061 0.5491
0.5972 0.5972 0.9259
0.7939 0.4258 0.4509
0.7973 0.7973 0.2563
```

Values from the calculation:
Density of states at the Fermi level ... 12.43 states/eV/f.u.
ΔE_f ... 0.05 eV/atom
V ... 1248.9 Å³ per cell
Final energy ... -0.929 eV/atom


| no. | M_tot (μB/f.u.) |
| --- | --- |
| 1 | 0.00 |
| 2 | 0.00 |